Record 1
The following is a PBE-GGA calculation of crystalline CaMgSc2N at its relaxed geometry, from Alexandria.

a b c (Å): 4.488 4.488 5.103
angles (deg): 90.00 90.00 90.00
Fractional coordinates of all 5 atoms:
Sc1 0.000 0.500 0.000
Sc2 0.500 0.000 0.000
Mg1 0.500 0.500 0.500
Ca1 0.000 0.000 0.500
N1 0.000 0.000 0.000

Size of the total moment = 0.0 μB per formula unit
Raw total energy = -0.4084 Ry/atom
Formation energy (no corrections) = -0.640 eV per atom



Record 2
The following is a PBE-GGA calculation of crystalline Ca2MgSiN at its relaxed geometry, from Alexandria.

a b c (Å): 4.941 4.941 4.079
angles (deg): 90.00 90.00 90.00
Fractional coordinates of all 5 atoms:
Ca1 0.500 0.000 0.000
Ca2 0.000 0.500 0.000
Mg1 0.000 0.000 0.500
N1 0.000 0.000 0.000
Si1 0.500 0.500 0.500

Size of the total moment = 0.0 μB per formula unit
Raw total energy = -0.3256 Ry/atom
Formation energy (no corrections) = -0.561 eV per atom



Record 3
The following is a PBE-GGA calculation of crystalline CaMg2SnN at its relaxed geometry, from Alexandria.

a b c (Å): 4.431 4.431 4.878
angles (deg): 90.00 90.00 90.00
Fractional coordinates of all 5 atoms:
Mg1 0.500 0.000 0.000
Mg2 0.000 0.500 0.000
Ca1 0.000 0.000 0.500
N1 0.000 0.000 0.000
Sn1 0.500 0.500 0.500

Size of the total moment = 0.0 μB per formula unit
Raw total energy = -0.2969 Ry/atom
Formation energy (no corrections) = -0.536 eV per atom



Record 4
The following is a PBE-GGA calculation of crystalline SrCa2MgN at its relaxed geometry, from Alexandria.

a b c (Å): 5.014 5.014 5.399
angles (deg): 90.00 90.00 90.00
Fractional coordinates of all 5 atoms:
Ca1 0.500 0.000 0.000
Ca2 0.000 0.500 0.000
Mg1 0.500 0.500 0.500
N1 0.000 0.000 0.000
Sr1 0.000 0.000 0.500

Size of the total moment = 0.0 μB per formula unit
Raw total energy = -0.2569 Ry/atom
Formation energy (no corrections) = -0.375 eV per atom



Record 5
The following is a PBE-GGA calculation of crystalline CaMgTa4N8 at its relaxed geometry, from Alexandria.

a b c (Å): 6.325 6.325 6.397
angles (deg): 60.38 60.38 60.00
Fractional coordinates of all 14 atoms:
N1 0.243 0.805 0.710
N2 0.748 0.243 0.260
N3 0.748 0.748 0.260
N4 0.243 0.748 0.260
N5 0.243 0.243 0.710
N6 0.805 0.243 0.710
N7 0.756 0.756 0.731
N8 0.233 0.233 0.301
Ta1 0.480 0.003 0.514
Ta2 0.623 0.623 0.130
Ta3 0.003 0.480 0.514
Ta4 0.003 0.003 0.514
Mg1 0.997 0.997 0.008
Ca1 0.374 0.374 0.877

Size of the total moment = 0.0 μB per formula unit
Raw total energy = -0.6916 Ry/atom
Formation energy (no corrections) = -1.008 eV per atom



Record 6
The following is a PBE-GGA calculation of crystalline CaMg3Ta2N6 at its relaxed geometry, from Alexandria.

a b c (Å): 3.135 6.287 7.312
angles (deg): 100.80 102.38 90.00
Fractional coordinates of all 12 atoms:
Mg1 0.500 0.500 0.000
Mg2 0.174 0.838 0.348
Mg3 0.826 0.162 0.652
N1 0.328 0.890 0.656
N2 0.980 0.721 0.961
N3 0.672 0.575 0.345
N4 0.672 0.110 0.344
N5 0.020 0.279 0.039
N6 0.328 0.425 0.655
Ca1 0.500 0.000 0.000
Ta1 0.158 0.337 0.316
Ta2 0.842 0.663 0.684

Size of the total moment = 0.0 μB per formula unit
Raw total energy = -0.5713 Ry/atom
Formation energy (no corrections) = -1.070 eV per atom



Record 7
The following is a PBE-GGA calculation of crystalline Ca4MgTa3N8 at its relaxed geometry, from Alexandria.

a b c (Å): 6.416 6.656 6.416
angles (deg): 118.82 120.00 90.00
Fractional coordinates of all 16 atoms:
Ta1 0.500 0.500 0.000
Ta2 0.000 0.500 0.500
Ta3 0.500 0.500 0.500
Ca1 0.500 0.000 0.500
Ca2 0.000 0.000 0.500
Ca3 0.500 0.000 0.000
Ca4 0.000 0.000 0.000
N1 0.244 0.709 0.965
N2 0.756 0.291 0.512
N3 0.244 0.709 0.488
N4 0.279 0.291 0.035
N5 0.262 0.287 0.524
N6 0.721 0.709 0.965
N7 0.738 0.713 0.476
N8 0.756 0.291 0.035
Mg1 0.000 0.500 0.000

Size of the total moment = 0.0 μB per formula unit
Raw total energy = -0.6022 Ry/atom
Formation energy (no corrections) = -1.208 eV per atom



Record 8
The following is a PBE-GGA calculation of crystalline Ca2MgTaN4 at its relaxed geometry, from Alexandria.

a b c (Å): 5.492 6.451 7.315
angles (deg): 90.00 90.00 90.00
Each line ends with the local moment (μB).
Fractional coordinates of all 16 atoms:
N1 0.923 0.305 0.767  0.21
N2 0.345 0.139 0.000  0.17
N3 0.923 0.305 0.233  0.21
N4 0.845 0.861 0.500  0.17
N5 0.423 0.695 0.267  0.21
N6 0.870 0.875 0.000  0.14
N7 0.370 0.125 0.500  0.14
N8 0.423 0.695 0.733  0.21
Ca1 0.476 0.324 0.748  0.02
Ca2 0.976 0.676 0.248  0.02
Ca3 0.976 0.676 0.752  0.02
Ca4 0.476 0.324 0.252  0.02
Ta1 0.495 0.843 0.500  -0.07
Ta2 0.995 0.157 0.000  -0.07
Mg1 0.491 0.843 0.000  0.00
Mg2 0.991 0.157 0.500  0.00

Size of the total moment = 1.1 μB per formula unit
Raw total energy = -0.5338 Ry/atom
Formation energy (no corrections) = -0.919 eV per atom



Record 9
The following is a PBE-GGA calculation of crystalline Ca2MgTc2N4 at its relaxed geometry, from Alexandria.

a b c (Å): 3.137 6.801 5.887
angles (deg): 105.02 90.00 103.33
Fractional coordinates of all 9 atoms:
N1 0.238 0.477 0.245
N2 0.762 0.523 0.755
N3 0.540 0.081 0.775
N4 0.460 0.919 0.225
Tc1 0.322 0.644 0.988
Tc2 0.678 0.356 0.012
Ca1 0.876 0.753 0.472
Ca2 0.124 0.247 0.528
Mg1 0.000 0.000 0.000

Size of the total moment = 0.0 μB per formula unit
Raw total energy = -0.5197 Ry/atom
Formation energy (no corrections) = -0.446 eV per atom



Record 10
The following is a PBE-GGA calculation of crystalline CaMgTcN3 at its relaxed geometry, from Alexandria.

a b c (Å): 3.210 6.142 8.485
angles (deg): 98.49 90.00 90.00
Fractional coordinates of all 12 atoms:
N1 0.750 0.913 0.141
N2 0.750 0.237 0.579
N3 0.250 0.596 0.783
N4 0.250 0.763 0.421
N5 0.250 0.087 0.859
N6 0.750 0.404 0.217
Tc1 0.750 0.696 0.281
Tc2 0.250 0.304 0.719
Ca1 0.750 0.815 0.642
Ca2 0.250 0.185 0.358
Mg1 0.250 0.807 0.991
Mg2 0.750 0.193 0.009

Size of the total moment = 0.0 μB per formula unit
Raw total energy = -0.5156 Ry/atom
Formation energy (no corrections) = -0.526 eV per atom



Record 11
The following is a PBE-GGA calculation of crystalline CaMgTiN2 at its relaxed geometry, from Alexandria.

a b c (Å): 4.349 4.349 4.872
angles (deg): 90.00 90.00 90.00
Each line ends with the local moment (μB).
Fractional coordinates of all 5 atoms:
Ca1 0.000 0.000 0.000  -0.03
Ti1 0.500 0.500 0.500  -0.15
N1 0.000 0.500 0.000  -0.42
N2 0.500 0.000 0.000  -0.42
Mg1 0.000 0.000 0.500  0.01

Size of the total moment = 1.3 μB per formula unit
Raw total energy = -0.2943 Ry/atom
Formation energy (no corrections) = 1.625 eV per atom



Record 12
The following is a PBE-GGA calculation of crystalline CaMg2TlN at its relaxed geometry, from Alexandria.

a b c (Å): 4.436 4.436 4.960
angles (deg): 90.00 90.00 90.00
Fractional coordinates of all 5 atoms:
Tl1 0.500 0.500 0.500
N1 0.000 0.000 0.000
Mg1 0.500 0.000 0.000
Mg2 0.000 0.500 0.000
Ca1 0.000 0.000 0.500

Size of the total moment = 0.0 μB per formula unit
Raw total energy = -0.2630 Ry/atom
Formation energy (no corrections) = -0.401 eV per atom



Record 13
The following is a PBE-GGA calculation of crystalline Ca3MgU3N8 at its relaxed geometry, from Alexandria.

a b c (Å): 6.843 6.843 6.867
angles (deg): 119.88 90.00 120.00
Each line ends with the local moment (μB).
Fractional coordinates of all 15 atoms:
Ca1 0.000 0.000 0.000  0.01
Ca2 0.500 0.500 0.000  0.01
Ca3 0.000 0.500 0.000  0.01
N1 0.236 0.956 0.692  -0.04
N2 0.720 0.956 0.692  -0.04
N3 0.764 0.044 0.308  -0.04
N4 0.280 0.044 0.308  -0.04
N5 0.764 0.528 0.308  -0.04
N6 0.236 0.472 0.692  -0.04
N7 0.742 0.484 0.726  -0.03
N8 0.258 0.516 0.274  -0.03
Mg1 0.000 0.000 0.500  0.00
U1 0.500 0.000 0.500  0.71
U2 0.500 0.500 0.500  0.72
U3 0.000 0.500 0.500  0.72

Size of the total moment = 2.1 μB per formula unit
Raw total energy = -0.6126 Ry/atom
Formation energy (no corrections) = -1.131 eV per atom



Record 14
The following is a PBE-GGA calculation of crystalline Ca2MgUN4 at its relaxed geometry, from Alexandria.

a b c (Å): 3.520 5.616 5.887
angles (deg): 107.10 90.00 90.00
Fractional coordinates of all 8 atoms:
Ca1 0.500 0.000 0.500
Ca2 0.000 0.500 0.500
N1 0.500 0.271 0.218
N2 0.000 0.269 0.786
N3 0.000 0.731 0.214
N4 0.500 0.729 0.782
U1 0.500 0.500 0.000
Mg1 0.000 0.000 0.000

Size of the total moment = 0.0 μB per formula unit
Raw total energy = -0.5491 Ry/atom
Formation energy (no corrections) = -1.197 eV per atom



Record 15
The following is a PBE-GGA calculation of crystalline Ca2Mg3UN6 at its relaxed geometry, from Alexandria.

a b c (Å): 5.855 5.855 5.517
angles (deg): 100.46 100.46 119.84
Each line ends with the local moment (μB).
Fractional coordinates of all 12 atoms:
Ca1 0.332 0.668 0.000  0.01
Ca2 0.668 0.332 0.000  0.01
N1 0.608 0.911 0.739  0.14
N2 0.212 0.212 0.768  0.07
N3 0.911 0.608 0.739  0.14
N4 0.788 0.788 0.232  0.07
N5 0.392 0.089 0.261  0.14
N6 0.089 0.392 0.261  0.14
Mg1 0.166 0.834 0.500  0.00
Mg2 0.834 0.166 0.500  0.00
Mg3 0.500 0.500 0.500  0.00
U1 0.000 0.000 0.000  0.13

Size of the total moment = 1.1 μB per formula unit
Raw total energy = -0.4909 Ry/atom
Formation energy (no corrections) = -0.844 eV per atom



Record 16
The following is a PBE-GGA calculation of crystalline CaMg2UN4 at its relaxed geometry, from Alexandria.

a b c (Å): 6.613 6.613 6.547
angles (deg): 119.67 119.67 88.38
Fractional coordinates of all 16 atoms:
N1 0.233 0.787 0.010
N2 0.256 0.244 0.008
N3 0.713 0.267 0.490
N4 0.767 0.213 0.990
N5 0.287 0.733 0.510
N6 0.256 0.244 0.492
N7 0.744 0.756 0.508
N8 0.744 0.756 0.992
U1 0.500 0.500 0.500
U2 0.000 0.000 0.000
Mg1 0.000 0.000 0.500
Mg2 0.500 0.000 0.500
Mg3 0.500 0.000 0.000
Mg4 0.500 0.500 0.000
Ca1 0.000 0.500 0.500
Ca2 0.000 0.500 0.000

Size of the total moment = 0.0 μB per formula unit
Raw total energy = -0.5355 Ry/atom
Formation energy (no corrections) = -1.063 eV per atom



Record 17
The following is a PBE-GGA calculation of crystalline CaMgUN3 at its relaxed geometry, from Alexandria.

a b c (Å): 3.541 6.799 10.029
angles (deg): 118.95 90.00 90.00
Each line ends with the local moment (μB).
Fractional coordinates of all 12 atoms:
N1 0.250 0.047 0.857  -0.02
N2 0.250 0.887 0.365  -0.01
N3 0.750 0.953 0.143  -0.02
N4 0.250 0.546 0.905  -0.02
N5 0.750 0.113 0.635  -0.01
N6 0.750 0.454 0.095  -0.02
Ca1 0.750 0.768 0.850  0.01
Ca2 0.250 0.232 0.150  0.01
Mg1 0.250 0.920 0.585  0.00
Mg2 0.750 0.080 0.415  0.00
U1 0.750 0.270 0.860  0.39
U2 0.250 0.730 0.140  0.39

Size of the total moment = 0.4 μB per formula unit
Raw total energy = -0.5629 Ry/atom
Formation energy (no corrections) = -1.016 eV per atom



Record 18
The following is a PBE-GGA calculation of crystalline Ca3MgU2N6 at its relaxed geometry, from Alexandria.

a b c (Å): 3.508 6.943 7.546
angles (deg): 104.70 103.44 90.00
Each line ends with the local moment (μB).
Fractional coordinates of all 12 atoms:
N1 0.662 0.104 0.324  -0.04
N2 0.321 0.437 0.642  -0.05
N3 0.987 0.749 0.973  -0.03
N4 0.679 0.563 0.358  -0.05
N5 0.013 0.251 0.027  -0.03
N6 0.338 0.896 0.676  -0.04
U1 0.839 0.681 0.677  0.99
U2 0.161 0.319 0.323  0.99
Ca1 0.500 0.500 0.000  0.02
Ca2 0.838 0.164 0.677  0.02
Ca3 0.162 0.836 0.323  0.02
Mg1 0.500 0.000 0.000  0.00

Size of the total moment = 2.0 μB per formula unit
Raw total energy = -0.5815 Ry/atom
Formation energy (no corrections) = -1.234 eV per atom



Record 19
The following is a PBE-GGA calculation of crystalline Ca4MgU3N8 at its relaxed geometry, from Alexandria.

a b c (Å): 6.898 6.937 6.898
angles (deg): 119.81 120.00 90.00
Each line ends with the local moment (μB).
Fractional coordinates of all 16 atoms:
Ca1 0.000 0.000 0.000  0.04
Ca2 0.000 0.000 0.500  0.04
Ca3 0.500 0.000 0.500  0.04
Ca4 0.500 0.000 0.000  0.03
N1 0.246 0.713 0.968  -0.05
N2 0.246 0.714 0.492  -0.05
N3 0.754 0.287 0.032  -0.05
N4 0.754 0.286 0.508  -0.05
N5 0.740 0.719 0.479  -0.06
N6 0.278 0.287 0.032  -0.05
N7 0.722 0.713 0.968  -0.05
N8 0.260 0.281 0.521  -0.06
U1 0.500 0.500 0.000  1.26
U2 0.500 0.500 0.500  1.26
U3 0.000 0.500 0.500  1.26
Mg1 0.000 0.500 0.000  0.00

Size of the total moment = 4.0 μB per formula unit
Raw total energy = -0.5965 Ry/atom
Formation energy (no corrections) = -1.237 eV per atom



Record 20
The following is a PBE-GGA calculation of crystalline Ca3Mg2UN6 at its relaxed geometry, from Alexandria.

a b c (Å): 5.734 5.734 5.932
angles (deg): 99.20 99.20 120.05
Each line ends with the local moment (μB).
Fractional coordinates of all 12 atoms:
N1 0.925 0.613 0.780  0.12
N2 0.613 0.925 0.780  0.12
N3 0.387 0.075 0.220  0.12
N4 0.075 0.387 0.220  0.12
N5 0.762 0.762 0.222  0.14
N6 0.238 0.238 0.778  0.14
Mg1 0.667 0.333 0.000  0.00
Mg2 0.333 0.667 0.000  0.00
Ca1 0.827 0.173 0.500  0.01
Ca2 0.500 0.500 0.500  0.01
Ca3 0.173 0.827 0.500  0.01
U1 0.000 0.000 0.000  0.09

Size of the total moment = 1.2 μB per formula unit
Raw total energy = -0.4981 Ry/atom
Formation energy (no corrections) = -0.907 eV per atom



Record 21
The following is a PBE-GGA calculation of crystalline CaMg2VN4 at its relaxed geometry, from Alexandria.

a b c (Å): 5.334 5.904 7.049
angles (deg): 90.00 90.00 90.00
Each line ends with the local moment (μB).
Fractional coordinates of all 16 atoms:
N1 0.381 0.672 0.290  0.20
N2 0.335 0.221 0.000  0.19
N3 0.881 0.328 0.790  0.20
N4 0.381 0.672 0.710  0.20
N5 0.442 0.123 0.500  0.19
N6 0.942 0.877 0.000  0.19
N7 0.835 0.779 0.500  0.19
N8 0.881 0.328 0.210  0.20
Mg1 0.991 0.666 0.245  0.00
Mg2 0.991 0.666 0.755  0.00
Mg3 0.491 0.334 0.255  0.00
Mg4 0.491 0.334 0.745  0.00
V1 0.002 0.187 0.000  -0.12
V2 0.502 0.813 0.500  -0.12
Ca1 0.477 0.847 0.000  0.02
Ca2 0.977 0.153 0.500  0.02

Size of the total moment = 1.0 μB per formula unit
Raw total energy = -0.4963 Ry/atom
Formation energy (no corrections) = -0.802 eV per atom